[1]
This record from OQMD via LeMat-Bulk describes a relaxed structure of Sr2Zn7. The functional is PBE-GGA. Values from VASP.

The structure in Quantum ESPRESSO input format:
```
&SYSTEM
  ibrav = 0, nat = 9, ntyp = 2
/
ATOMIC_SPECIES
Zn 65.41 Zn.upf
Sr 87.62 Sr.upf
CELL_PARAMETERS angstrom
-1.195 -5.399 2.105
3.796 3.520 2.866
-4.620 2.304 3.288
ATOMIC_POSITIONS crystal
Zn 0.649 0.825 0.156
Zn 0.825 0.175 0.844
Zn 0.175 0.351 0.156
Zn 0.351 0.175 0.844
Zn 0.175 0.825 0.156
Zn 0.000 0.000 0.500
Zn 0.825 0.649 0.844
Sr 0.667 0.333 0.356
Sr 0.333 0.667 0.644
```

Properties
calculated total energy: -1.5398 eV/atom
symmetry: P-3m1

=====

[2]
This record from OQMD via LeMat-Bulk describes a relaxed structure of ErThSn. The functional is PBE-GGA. Values from VASP.

The structure in Quantum ESPRESSO input format:
```
&SYSTEM
  ibrav = 0, nat = 3, ntyp = 3
/
ATOMIC_SPECIES
Er 167.26 Er.upf
Sn 118.71 Sn.upf
Th 232.04 Th.upf
CELL_PARAMETERS angstrom
0.000 3.660 3.660
3.660 0.000 3.660
3.660 3.660 0.000
ATOMIC_POSITIONS crystal
Er 0.500 0.500 0.500
Sn 0.250 0.250 0.250
Th 0.000 0.000 0.000
```

Properties
energy relative to the lowest polymorph listed for this composition: 0.000 eV per atom
calculated total energy: -5.4967 eV/atom
symmetry: F-43m

=====

[3]
This record from OQMD via LeMat-Bulk describes a relaxed structure of SmAgGeTe3. The functional is PBE-GGA. Values from VASP.

The structure in Quantum ESPRESSO input format:
```
&SYSTEM
  ibrav = 0, nat = 24, ntyp = 4
/
ATOMIC_SPECIES
Te 127.60 Te.upf
Sm 150.36 Sm.upf
Ag 107.87 Ag.upf
Ge 72.64 Ge.upf
CELL_PARAMETERS angstrom
-2.612 1.945 -3.103
0.271 -10.371 -6.730
-10.317 -4.198 6.054
ATOMIC_POSITIONS crystal
Te 0.250 0.038 0.879
Te 0.750 0.096 0.437
Te 0.750 0.462 0.379
Te 0.250 0.538 0.621
Te 0.250 0.404 0.937
Te 0.750 0.596 0.063
Te 0.750 0.789 0.838
Te 0.250 0.211 0.162
Te 0.250 0.904 0.563
Te 0.750 0.289 0.662
Te 0.250 0.711 0.338
Te 0.750 0.962 0.121
Sm 0.250 0.978 0.314
Sm 0.250 0.478 0.186
Sm 0.750 0.022 0.686
Sm 0.750 0.522 0.814
Ag 0.750 0.257 0.286
Ag 0.750 0.757 0.214
Ag 0.250 0.743 0.714
Ag 0.250 0.243 0.786
Ge 0.250 0.342 0.502
Ge 0.750 0.658 0.498
Ge 0.750 0.158 0.002
Ge 0.250 0.842 0.998
```

Properties
energy relative to the lowest polymorph listed for this composition: 0.015 eV per atom
calculated total energy: -4.1308 eV/atom
symmetry: Pnma

=====

[4]
This record from OQMD via LeMat-Bulk describes a relaxed structure of CsRbTlAu3. The functional is PBE-GGA. Values from VASP.

The structure in Quantum ESPRESSO input format:
```
&SYSTEM
  ibrav = 0, nat = 12, ntyp = 4
/
ATOMIC_SPECIES
Rb 85.47 Rb.upf
Tl 204.38 Tl.upf
Au 196.97 Au.upf
Cs 132.91 Cs.upf
CELL_PARAMETERS angstrom
-1.178 4.052 3.992
-5.846 -3.339 1.664
4.592 -4.890 6.319
ATOMIC_POSITIONS crystal
Rb 0.250 0.500 0.130
Rb 0.750 0.500 0.870
Tl 0.250 0.000 0.930
Tl 0.750 0.000 0.070
Au 0.000 0.500 0.500
Au 0.750 0.294 0.280
Au 0.750 0.706 0.280
Au 0.250 0.294 0.720
Au 0.250 0.706 0.720
Au 0.500 0.500 0.500
Cs 0.750 0.000 0.634
Cs 0.250 0.000 0.366
```

Properties
calculated total energy: -2.6064 eV/atom
symmetry: Pmma

=====

[5]
This record from OQMD via LeMat-Bulk describes a relaxed structure of Zr2AuC. The functional is PBE-GGA. Values from VASP.

The structure in Quantum ESPRESSO input format:
```
&SYSTEM
  ibrav = 0, nat = 8, ntyp = 3
/
ATOMIC_SPECIES
C 12.01 C.upf
Zr 91.22 Zr.upf
Au 196.97 Au.upf
CELL_PARAMETERS angstrom
-3.153 0.636 0.904
1.941 -1.907 1.938
4.363 11.607 7.048
ATOMIC_POSITIONS crystal
C 0.000 0.000 0.500
C 0.000 0.000 0.000
Zr 0.333 0.667 0.409
Zr 0.667 0.333 0.909
Zr 0.333 0.667 0.091
Zr 0.667 0.333 0.591
Au 0.333 0.667 0.750
Au 0.667 0.333 0.250
```

Properties
calculated total energy: -8.0486 eV/atom
symmetry: P6_3/mmc

=====

[6]
This record from OQMD via LeMat-Bulk describes a relaxed structure of Y3ErC2Se2. The functional is PBE-GGA. Values from VASP.

The structure in Quantum ESPRESSO input format:
```
&SYSTEM
  ibrav = 0, nat = 8, ntyp = 4
/
ATOMIC_SPECIES
Y 88.91 Y.upf
C 12.01 C.upf
Se 78.96 Se.upf
Er 167.26 Er.upf
CELL_PARAMETERS angstrom
3.755 0.000 0.000
-1.877 3.252 0.000
0.000 0.000 13.252
ATOMIC_POSITIONS crystal
Y 0.000 0.000 0.601
Y 0.667 0.333 0.099
Y 0.667 0.333 0.400
C 0.333 0.667 0.500
C 0.333 0.667 0.998
Se 0.000 0.000 0.249
Se 0.667 0.333 0.752
Er 0.000 0.000 0.900
```

Properties
calculated total energy: -7.3347 eV/atom
symmetry: P3m1

=====

[7]
This record from OQMD via LeMat-Bulk describes a relaxed structure of LuCoW2. The functional is PBE-GGA. Values from VASP.

The structure in Quantum ESPRESSO input format:
```
&SYSTEM
  ibrav = 0, nat = 4, ntyp = 3
/
ATOMIC_SPECIES
W 183.84 W.upf
Co 58.93 Co.upf
Lu 174.97 Lu.upf
CELL_PARAMETERS angstrom
2.370 -3.156 2.191
-1.524 -4.245 0.184
2.103 -3.256 -2.314
ATOMIC_POSITIONS crystal
W 0.000 0.000 0.000
W 0.750 0.750 0.750
Co 0.250 0.250 0.250
Lu 0.500 0.500 0.500
```

Properties
calculated total energy: -9.1471 eV/atom
calculated formation energy: 0.96 eV/f.u.
symmetry: F-43m

=====

[8]
This record from OQMD via LeMat-Bulk describes a relaxed structure of Lu2Zr4Cu3N3. The functional is PBE-GGA. Values from VASP.

The structure in Quantum ESPRESSO input format:
```
&SYSTEM
  ibrav = 0, nat = 24, ntyp = 4
/
ATOMIC_SPECIES
N 14.01 N.upf
Zr 91.22 Zr.upf
Lu 174.97 Lu.upf
Cu 63.55 Cu.upf
CELL_PARAMETERS angstrom
5.665 0.000 0.000
-2.828 4.909 0.000
-0.029 -3.257 13.780
ATOMIC_POSITIONS crystal
N 0.827 0.163 0.500
N 0.500 0.500 0.500
N 0.663 0.827 0.000
N 0.337 0.173 0.000
N 0.000 0.500 0.000
N 0.173 0.837 0.500
Zr 0.200 0.563 0.587
Zr 0.694 0.228 0.087
Zr 0.800 0.437 0.413
Zr 0.306 0.772 0.913
Zr 0.024 0.887 0.087
Zr 0.859 0.893 0.587
Zr 0.976 0.113 0.913
Zr 0.141 0.107 0.413
Lu 0.375 0.575 0.114
Lu 0.538 0.239 0.614
Lu 0.462 0.761 0.386
Lu 0.625 0.425 0.886
Cu 0.416 0.145 0.250
Cu 0.930 0.180 0.250
Cu 0.105 0.334 0.750
Cu 0.070 0.820 0.750
Cu 0.895 0.666 0.250
Cu 0.584 0.855 0.750
```

Properties
calculated total energy: -7.4950 eV/atom
symmetry: C2/c

=====

Which value of calculated total energy does entry 1 give?
-1.5398 eV/atom